Model a:
VASP calculation (PBE) on a relaxed structure of TiIr2W2.

Cell: 3.947 3.947 11.553 Å, 90.00 90.00 90.00°
Space group I4/mmm (No. 139)
Unique sites:
Ti (0.000, 0.000, 0.000)
Ir (0.000, 0.500, 0.250)
W (0.000, 0.000, 0.392)

Density of states at the Fermi level: 0.684 states/eV/atom
Mass density: 14.8 g/cm³

=====

Model b:
VASP calculation (PBE) on a relaxed structure of TiIr2W2.

Cell: 7.712 7.712 2.767 Å, 90.00 90.00 90.00°
Space group P4/mbm (No. 127)
Unique sites:
Ti (0.000, 0.000, 0.000)
Ir (0.173, 0.327, 0.500)
W (0.122, 0.622, 0.000)

Density of states at the Fermi level: 1.347 states/eV/atom
Mass density: 16.1 g/cm³

=====

The most stable arrangement is model b, and the next structure is 407 meV/atom less stable.

=====

Model a:
VASP calculation (PBE) on a relaxed structure of Ti3IrW.

Cell: 4.658 4.658 4.658 Å, 90.00 90.00 90.00°
Space group Pm-3m (No. 221)
Unique sites:
Ti (0.000, 0.000, 0.500)
Ir (0.000, 0.000, 0.000)
W (0.500, 0.500, 0.500)

Density of states at the Fermi level: 1.491 states/eV/atom
Mass density: 8.5 g/cm³

=====

Model b:
VASP calculation (PBE) on a relaxed structure of Ti3IrW.

Cell: 4.652 4.652 4.652 Å, 90.00 90.00 90.00°
Space group Pm-3m (No. 221)
Unique sites:
Ti (0.000, 0.000, 0.500)
Ir (0.500, 0.500, 0.500)
W (0.000, 0.000, 0.000)

Density of states at the Fermi level: 1.698 states/eV/atom
Mass density: 8.6 g/cm³

=====

The most stable arrangement is model a, and the next structure is 254 meV/atom less stable.

=====

Model a:
VASP calculation (PBE) on a relaxed structure of Y2TiIr2.

Cell: 10.051 5.683 7.635 Å, 90.00 102.50 90.00°
Space group C2/c (No. 15)
Unique sites:
Y (0.147, 0.133, 0.145)
Ti (0.000, 0.392, 0.750)
Ir (0.134, 0.359, 0.500)

Density of states at the Fermi level: 0.967 states/eV/atom
Mass density: 9.5 g/cm³

=====

Model b:
VASP calculation (PBE) on a relaxed structure of Y2TiIr2.

Cell: 6.817 6.817 4.502 Å, 90.00 90.00 90.00°
Space group P4/mbm (No. 127)
Unique sites:
Y (0.175, 0.325, 0.000)
Ti (0.000, 0.000, 0.500)
Ir (0.139, 0.639, 0.500)

Density of states at the Fermi level: 0.905 states/eV/atom
Mass density: 9.7 g/cm³

=====

The most stable arrangement is model a, and the next structure is 115 meV/atom less stable.

=====

Model a:
VASP calculation (PBE) on a relaxed structure of YTiZn2Ir.

Cell: 4.830 4.830 4.683 Å, 90.00 90.00 90.00°
Space group P4/mmm (No. 123)
Unique sites:
Y (0.000, 0.000, 0.000)
Ti (0.500, 0.500, 0.000)
Zn (0.000, 0.500, 0.500)
Ir (0.500, 0.500, 0.500)

Density of states at the Fermi level: 0.917 states/eV/atom
Mass density: 7.0 g/cm³

=====

Model b:
VASP calculation (PBE) on a relaxed structure of YTiZn2Ir.

Cell: 5.077 5.077 4.949 Å, 90.00 90.00 90.00°
Space group P4/mmm (No. 123)
Unique sites:
Y (0.000, 0.000, 0.000)
Ti (0.500, 0.500, 0.500)
Zn (0.000, 0.500, 0.000)
Ir (0.000, 0.000, 0.500)

Density of states at the Fermi level: 1.355 states/eV/atom
Mass density: 6.0 g/cm³

=====

The most stable arrangement is model a, and the next structure is 1324 meV/atom less stable.

=====

Model a:
VASP calculation (PBE) on a relaxed structure of Ti4ZnIr.

Cell: 4.263 4.263 6.129 Å, 90.00 90.00 90.00°
Space group P4/mmm (No. 123)
Unique sites:
Ti (0.000, 0.500, 0.243)
Zn (0.000, 0.000, 0.500)
Ir (0.500, 0.500, 0.000)

Density of states at the Fermi level: 1.116 states/eV/atom
Mass density: 6.7 g/cm³

=====

Model b:
VASP calculation (PBE) on a relaxed structure of Ti4ZnIr.

Cell: 10.430 3.081 6.199 Å, 90.00 107.37 90.00°
Space group C2/m (No. 12)
Unique sites:
Ti (0.162, 0.000, 0.327)
Ti (0.162, 0.000, 0.835)
Zn (0.000, 0.500, 0.500)
Ir (0.000, 0.500, 0.000)

Density of states at the Fermi level: 0.811 states/eV/atom
Mass density: 7.8 g/cm³

=====

The most stable arrangement is model b, and the next structure is 360 meV/atom less stable.

=====

Model a:
VASP calculation (PBE) on a relaxed structure of ZrTi2Ir2.

Cell: 4.158 4.158 10.671 Å, 90.00 90.00 90.00°
Space group I4/mmm (No. 139)
Unique sites:
Zr (0.000, 0.000, 0.000)
Ti (0.000, 0.500, 0.250)
Ir (0.000, 0.000, 0.383)

Density of states at the Fermi level: 0.907 states/eV/atom
Mass density: 10.3 g/cm³

=====

Model b:
VASP calculation (PBE) on a relaxed structure of ZrTi2Ir2.

Cell: 8.979 9.492 6.405 Å, 90.00 133.48 90.00°
Space group C2/c (No. 15)
Unique sites:
Zr (0.000, 0.125, 0.250)
Ti (0.161, 0.377, 0.068)
Ir (0.000, 0.160, 0.750)
Ir (0.000, 0.408, 0.250)

Density of states at the Fermi level: 0.884 states/eV/atom
Mass density: 9.6 g/cm³

=====

The most stable arrangement is model a, and the next structure is 335 meV/atom less stable.

=====

Model a:
VASP calculation (PBE) on a relaxed structure of Zr2TiIr2.

Cell: 4.077 5.617 8.216 Å, 90.00 90.00 90.00°
Space group Immm (No. 71)
Unique sites:
Zr (0.000, 0.000, 0.203)
Ti (0.000, 0.500, 0.000)
Ir (0.000, 0.264, 0.500)

Density of states at the Fermi level: 1.011 states/eV/atom
Mass density: 10.9 g/cm³

=====

Model b:
VASP calculation (PBE) on a relaxed structure of Zr2TiIr2.

Cell: 7.877 7.877 3.047 Å, 90.00 90.00 90.00°
Space group P4/mbm (No. 127)
Unique sites:
Zr (0.150, 0.350, 0.000)
Ti (0.000, 0.000, 0.000)
Ir (0.150, 0.650, 0.500)

Density of states at the Fermi level: 0.530 states/eV/atom
Mass density: 10.8 g/cm³

=====

Model c:
VASP calculation (PBE) on a relaxed structure of Zr2TiIr2.

Cell: 6.589 6.589 4.344 Å, 90.00 90.00 90.00°
Space group P4/mbm (No. 127)
Unique sites:
Zr (0.175, 0.325, 0.000)
Ti (0.000, 0.000, 0.500)
Ir (0.142, 0.642, 0.500)

Density of states at the Fermi level: 0.879 states/eV/atom
Mass density: 10.8 g/cm³

=====

The most stable arrangement is model a, and the next structure is 64 meV/atom less stable.

=====

Model a:
VASP calculation (PBE) on a relaxed structure of Zr2Ti2Ir.

Cell: 13.240 6.158 5.360 Å, 90.00 113.73 90.00°
Space group C2/c (No. 15)
Unique sites:
Zr (0.091, 0.146, 0.092)
Ti (0.173, 0.361, 0.672)
Ir (0.000, 0.499, 0.750)

Density of states at the Fermi level: 1.439 states/eV/atom
Mass density: 7.8 g/cm³

=====

Model b:
VASP calculation (PBE) on a relaxed structure of Zr2Ti2Ir.

Cell: 6.502 6.502 4.606 Å, 90.00 90.00 90.00°
Space group P4/mbm (No. 127)
Unique sites:
Zr (0.161, 0.339, 0.000)
Ti (0.149, 0.649, 0.500)
Ir (0.000, 0.000, 0.500)

Density of states at the Fermi level: 1.310 states/eV/atom
Mass density: 8.0 g/cm³

=====

The most stable arrangement is model b, and the next structure is 108 meV/atom less stable.